A geometry-optimized CuNi2Rh structure, computed with PBEsol.

Values from the calculation:
**Crystal system**: trigonal
**Formation energy from the elements**: 67 meV per atom
**Symmetry**: R-3m, No. 166

a b c (Å): 2.560 2.560 8.291
angles (deg): 81.12 81.12 60.00
Element x y z (fractional)
Cu: 0.000 0.000 0.000
Ni: 0.252 0.252 0.245
Rh: 0.500 0.500 0.500
Ni: 0.748 0.748 0.755


A geometry-optimized BaCuSI2 structure, computed with PBEsol.

Values from the calculation:
**Crystal system**: tetragonal
**Symmetry**: P4/mmm, No. 123

a b c (Å): 5.495 5.495 5.924
angles (deg): 90.00 90.00 90.00
Element x y z (fractional)
I: 0.500 0.000 0.000
Ba: 0.000 0.000 0.500
Cu: 0.500 0.500 0.500
S: 0.000 0.000 0.000
I: 0.000 0.500 0.000


A geometry-optimized LiCa2Ni structure, computed with PBEsol.

Values from the calculation:
**Crystal system**: orthorhombic
**Formation energy from the elements**: 83 meV per atom
**Symmetry**: Imm2, No. 44

a b c (Å): 3.468 4.943 6.342
angles (deg): 112.94 105.87 90.00
Element x y z (fractional)
Li: 0.571 0.071 0.142
Ca: 0.745 0.745 0.489
Ni: 0.240 0.240 0.480
Ca: 0.945 0.445 0.889


A geometry-optimized NiH4SeO5 structure, computed with PBEsol.

Values from the calculation:
**Crystal system**: monoclinic
**Symmetry**: P2_1/c, No. 14

a b c (Å): 6.374 7.432 8.539
angles (deg): 90.00 90.00 99.52
Element x y z (fractional)
O: 0.382 0.293 0.439
O: 0.914 0.573 0.362
H: 0.315 0.131 0.071
Ni: 0.650 0.978 0.637
O: 0.822 0.236 0.164
O: 0.041 0.996 0.298
O: 0.164 0.528 0.094
Ni: 0.350 0.022 0.363
H: 0.185 0.369 0.571
O: 0.414 0.073 0.138
Se: 0.398 0.666 0.154
H: 0.945 0.877 0.150
O: 0.618 0.707 0.561
O: 0.118 0.207 0.939
O: 0.678 0.264 0.664
H: 0.563 0.142 0.130
H: 0.063 0.642 0.370
H: 0.996 0.793 0.979
O: 0.664 0.028 0.406
H: 0.504 0.707 0.479
Ni: 0.850 0.522 0.137
H: 0.496 0.293 0.521
Se: 0.898 0.166 0.346
H: 0.685 0.869 0.929
Se: 0.602 0.334 0.846
O: 0.322 0.736 0.336
O: 0.178 0.764 0.836
H: 0.815 0.631 0.429
O: 0.336 0.972 0.594
H: 0.437 0.858 0.870
O: 0.836 0.472 0.906
O: 0.959 0.004 0.702
O: 0.586 0.927 0.862
H: 0.004 0.207 0.021
Se: 0.102 0.834 0.654
O: 0.086 0.427 0.638
H: 0.445 0.377 0.350
Ni: 0.150 0.478 0.863
O: 0.882 0.793 0.061
H: 0.937 0.358 0.630
H: 0.055 0.123 0.850
O: 0.459 0.504 0.798
H: 0.555 0.623 0.650
O: 0.541 0.496 0.202


A geometry-optimized CuPbSe2 structure, computed with PBEsol.

Values from the calculation:
**Crystal system**: monoclinic
**Symmetry**: C2/m, No. 12

a b c (Å): 4.870 4.864 4.864
angles (deg): 113.08 107.76 107.76
Element x y z (fractional)
Se: 0.000 0.000 0.500
Se: 0.000 0.500 0.000
Pb: 0.500 0.500 0.500
Cu: 0.500 0.000 0.000


A geometry-optimized SrNb2CoBr structure, computed with PBEsol.

Values from the calculation:
**Crystal system**: tetragonal
**Symmetry**: P4/mmm, No. 123

a b c (Å): 4.450 4.450 6.952
angles (deg): 90.00 90.00 90.00
Element x y z (fractional)
Br: 0.000 0.000 0.500
Sr: 0.500 0.500 0.500
Nb: 0.500 0.000 0.000
Co: 0.000 0.000 0.000
Nb: 0.000 0.500 0.000


What uncorrected energy values result from the calculations? In sequence: -0.225, -0.107, -0.111, -0.199, -0.144, -0.216 Ha/atom.
What magnetic moment values result from the calculations? In sequence: 1.61, 0.00, 0.00, 1.96, 0.00, 1.40 μB/f.u..